(1)
Computed, not measured: BePtBr after structural relaxation at the GGA-PBE level of DFT.

D(E_F): 1.2 states/eV per cell
E_form (uncorrected): 0.021 eV/atom
Polymorph energy (0 for the lowest one): 2.86 kcal/mol of atoms
Total magnetic moment: 0.0 Bohr magnetons per cell
Calculated total energy: -3.7925 eV/atom
Density: 8776 kg/m³

Lattice parameters (Å, degrees): 7.062 6.755 3.036 83.04 71.70 25.26
Positions (direct):
Be: 0.000 0.000 0.000
Pt: 0.621 0.621 0.379
Br: 0.374 0.374 0.626

(2)
Computed, not measured: LaPd12Pb6 after structural relaxation at the GGA-PBE level of DFT.

D(E_F): 8.4 states/eV per cell
Total magnetic moment: 0.0 Bohr magnetons per cell
Calculated total energy: -4.9374 eV/atom
Energy relative to the elements: -21.94 kJ per mole of atoms
Density: 11006 kg/m³

Lattice parameters (Å, degrees): 7.697 7.697 7.697 104.70 104.70 104.70
Positions (direct):
La: 0.000 0.000 0.000
Pd: 0.108 0.347 0.347
Pd: 0.114 0.500 0.886
Pd: 0.114 0.886 0.500
Pd: 0.347 0.108 0.347
Pd: 0.347 0.347 0.108
Pd: 0.500 0.114 0.886
Pd: 0.500 0.886 0.114
Pd: 0.653 0.653 0.892
Pd: 0.653 0.892 0.653
Pd: 0.886 0.114 0.500
Pd: 0.886 0.500 0.114
Pd: 0.892 0.653 0.653
Pb: 0.278 0.278 0.691
Pb: 0.278 0.691 0.278
Pb: 0.309 0.722 0.722
Pb: 0.691 0.278 0.278
Pb: 0.722 0.309 0.722
Pb: 0.722 0.722 0.309

(3)
Computed, not measured: MnTcMoW after structural relaxation at the GGA-PBE level of DFT.

D(E_F): 4.4 states/eV per cell
Total magnetic moment: 2.3 Bohr magnetons per cell
Calculated total energy: -10.7595 eV/atom
Energy relative to the elements: 6.80 kJ per mole of atoms
Density: 12069 kg/m³

Lattice parameters (Å, degrees): 4.383 4.383 4.383 60.00 60.00 60.00
Positions (direct):
Mn: 0.000 0.000 0.000
Tc: 0.250 0.250 0.250
Mo: 0.750 0.750 0.750
W: 0.500 0.500 0.500

(4)
Computed, not measured: Li2Ge2Pt after structural relaxation at the GGA-PBE level of DFT.

D(E_F): 1.5 states/eV per cell
Total magnetic moment: 0.0 Bohr magnetons per cell
Calculated total energy: -3.9644 eV/atom
Energy relative to the elements: -13.87 kJ per mole of atoms
Density: 7488 kg/m³

Lattice parameters (Å, degrees): 6.712 6.712 6.712 149.31 149.31 43.96
Positions (direct):
Li: 0.250 0.750 0.500
Li: 0.750 0.250 0.500
Ge: 0.097 0.097 0.000
Ge: 0.903 0.903 0.000
Pt: 0.500 0.500 0.000

(5)
Computed, not measured: GdScAgSn after structural relaxation at the GGA-PBE level of DFT.

D(E_F): 3.3 states/eV per cell
Total magnetic moment: 7.9 Bohr magnetons per cell
Calculated total energy: -7.3096 eV/atom
Energy relative to the elements: -47.56 kJ per mole of atoms
Density: 7517 kg/m³

Lattice parameters (Å, degrees): 5.117 5.117 5.117 60.00 60.00 60.00
Positions (direct):
Gd: 0.000 0.000 0.000
Sc: 0.500 0.500 0.500
Ag: 0.250 0.250 0.250
Sn: 0.750 0.750 0.750

(6)
Computed, not measured: Pu4TeO5 after structural relaxation at the GGA-PBE level of DFT.

D(E_F): 47.2 states/eV per cell
E_form (uncorrected): -2.452 eV/atom
Total magnetic moment: 40.0 Bohr magnetons per cell
Calculated total energy: -10.9776 eV/atom
Density: 9080 kg/m³

Lattice parameters (Å, degrees): 7.127 10.815 5.617 90.00 90.00 90.00
Positions (direct):
Pu: 0.014 0.250 0.182
Pu: 0.250 0.528 0.490
Pu: 0.250 0.972 0.490
Pu: 0.486 0.250 0.182
Pu: 0.514 0.750 0.818
Pu: 0.750 0.028 0.510
Pu: 0.750 0.472 0.510
Pu: 0.986 0.750 0.818
Te: 0.250 0.250 0.684
Te: 0.750 0.750 0.316
O: 0.013 0.056 0.279
O: 0.013 0.444 0.279
O: 0.250 0.750 0.610
O: 0.487 0.056 0.279
O: 0.487 0.444 0.279
O: 0.513 0.556 0.721
O: 0.513 0.944 0.721
O: 0.750 0.250 0.390
O: 0.987 0.556 0.721
O: 0.987 0.944 0.721

(7)
Computed, not measured: MgTaCu2Hg after structural relaxation at the GGA-PBE level of DFT.

D(E_F): 4.6 states/eV per cell
Total magnetic moment: 0.0 Bohr magnetons per cell
Calculated total energy: -3.2921 eV/atom
Energy relative to the elements: 105.77 kJ per mole of atoms
Density: 7140 kg/m³

Lattice parameters (Å, degrees): 4.808 4.808 5.361 90.00 90.00 90.00
Positions (direct):
Mg: 0.000 0.000 0.000
Ta: 0.500 0.500 0.500
Cu: 0.000 0.500 0.500
Cu: 0.500 0.000 0.500
Hg: 0.500 0.500 0.000

(8)
Computed, not measured: BaHg3B after structural relaxation at the GGA-PBE level of DFT.

D(E_F): 3.6 states/eV per cell
Polymorph energy (0 for the lowest one): 0.00 kcal/mol of atoms
Total magnetic moment: 0.0 Bohr magnetons per cell
Calculated total energy: -1.6577 eV/atom
Energy relative to the elements: 23.49 kJ per mole of atoms
Density: 9907 kg/m³

Lattice parameters (Å, degrees): 5.009 5.009 5.009 90.00 90.00 90.00
Positions (direct):
Ba: 0.000 0.000 0.000
Hg: 0.000 0.500 0.500
Hg: 0.500 0.000 0.500
Hg: 0.500 0.500 0.000
B: 0.500 0.500 0.500

(9)
Computed, not measured: Tb4InB3Rh12 after structural relaxation at the GGA-PBE level of DFT.

D(E_F): 18.2 states/eV per cell
Total magnetic moment: 0.0 Bohr magnetons per cell
Calculated total energy: -7.0090 eV/atom
Energy relative to the elements: -51.48 kJ per mole of atoms
Density: 10076 kg/m³

Lattice parameters (Å, degrees): 7.559 7.559 7.559 109.47 109.47 109.47
Positions (direct):
Tb: 0.000 0.000 0.500
Tb: 0.000 0.500 0.000
Tb: 0.500 0.000 0.000
Tb: 0.500 0.500 0.500
In: 0.000 0.000 0.000
B: 0.000 0.500 0.500
B: 0.500 0.000 0.500
B: 0.500 0.500 0.000
Rh: 0.000 0.280 0.280
Rh: 0.000 0.720 0.720
Rh: 0.250 0.500 0.750
Rh: 0.250 0.750 0.500
Rh: 0.280 0.000 0.280
Rh: 0.280 0.280 0.000
Rh: 0.500 0.250 0.750
Rh: 0.500 0.750 0.250
Rh: 0.720 0.000 0.720
Rh: 0.720 0.720 0.000
Rh: 0.750 0.250 0.500
Rh: 0.750 0.500 0.250

(10)
Computed, not measured: BaTaRe2 after structural relaxation at the GGA-PBE level of DFT.

D(E_F): 5.7 states/eV per cell
Polymorph energy (0 for the lowest one): 10.12 kcal/mol of atoms
Total magnetic moment: 0.0 Bohr magnetons per cell
Calculated total energy: -8.5783 eV/atom
Energy relative to the elements: 105.13 kJ per mole of atoms
Density: 13274 kg/m³

Lattice parameters (Å, degrees): 6.087 6.087 6.087 151.21 126.65 61.75
Positions (direct):
Ba: 0.000 0.000 0.000
Ta: 0.699 0.199 0.500
Re: 0.287 0.787 0.500
Re: 0.481 0.481 0.000

> What is the density in the fourth record?

7488 kg/m³